# KTa2Rh

An optimized crystal structure of KTa2Rh (PBEsol, the Alexandria database).

**Energy relative to the lowest polymorph listed for this composition**: 705 meV per atom
**E**: -7.30 eV/atom
**DOS at the Fermi energy**: 3.588 states/eV/cell

Cell and atoms, written as CIF:
```
data_KTa2Rh
_chemical_formula_sum 'K1 Ta2 Rh1'
_cell_length_a 4.878
_cell_length_b 4.878
_cell_length_c 2.928
_cell_angle_alpha 90.00
_cell_angle_beta 90.00
_cell_angle_gamma 90.00
_space_group_name_H-M_alt 'P 4/m m m'
_space_group_IT_number 123
_space_group_name_Hall '-P 4 2'
loop_
_atom_site_label
_atom_site_type_symbol
_atom_site_fract_x
_atom_site_fract_y
_atom_site_fract_z
_atom_site_occupancy
K1 K 0.000 0.000 0.000 1
Ta1 Ta 0.000 0.500 0.500 1
Rh1 Rh 0.500 0.500 0.000 1
```